(1)
The following is a GGA-PBE calculation of a relaxed Ho2Er2BI5 crystal, from OQMD via LeMat-Bulk.

## Properties
ρ (g cm⁻³): 6.68
Space group: C2/m (12)
DFT total energy (eV/atom): -4.334

a b c (Å): 9.8476 9.8476 8.5933
angles (deg): 102.14 102.14 23.58
Positions (direct):
1 B 0.5000 0.5000 0.0000
2 Er 0.9996 0.9996 0.1932
3 Er 0.0004 0.0004 0.8068
4 Ho 0.6317 0.6317 0.0659
5 Ho 0.3683 0.3683 0.9341
6 I 0.8323 0.8323 0.1768
7 I 0.1627 0.1627 0.3394
8 I 0.5000 0.5000 0.5000
9 I 0.8373 0.8373 0.6606
10 I 0.1677 0.1677 0.8232

---

(2)
The following is a GGA-PBE calculation of a relaxed HoErInB crystal, from OQMD via LeMat-Bulk.

## Properties
ρ (g cm⁻³): 8.05
Space group: P-3m1 (164)
DFT total energy (eV/atom): -4.766

a b c (Å): 3.5948 3.5948 16.8801
angles (deg): 90.00 90.00 120.00
Positions (direct):
1 B 0.0000 0.0000 0.0000
2 B 0.0000 0.0000 0.5000
3 Er 0.6667 0.3333 0.0911
4 Er 0.3333 0.6667 0.9089
5 Ho 0.6667 0.3333 0.4078
6 Ho 0.3333 0.6667 0.5922
7 In 0.3333 0.6667 0.2491
8 In 0.6667 0.3333 0.7509

---

(3)
The following is a GGA-PBE calculation of a relaxed HoErInB crystal, from OQMD via LeMat-Bulk.

## Properties
ρ (g cm⁻³): 8.06
Space group: P-6m2 (187)
DFT total energy (eV/atom): -4.766

a b c (Å): 3.5930 3.5930 16.8671
angles (deg): 90.00 90.00 120.00
Positions (direct):
1 B 0.0000 0.0000 0.2493
2 B 0.0000 0.0000 0.7507
3 Er 0.6667 0.3333 0.1579
4 Er 0.6667 0.3333 0.8421
5 Ho 0.3333 0.6667 0.3411
6 Ho 0.3333 0.6667 0.6589
7 In 0.3333 0.6667 0.0000
8 In 0.6667 0.3333 0.5000

---

(4)
The following is a GGA-PBE calculation of a relaxed HoEr3In2B2 crystal, from OQMD via LeMat-Bulk.

## Properties
ρ (g cm⁻³): 8.10
Space group: P3m1 (156)
DFT total energy (eV/atom): -4.767

a b c (Å): 3.5905 3.5905 16.8622
angles (deg): 90.00 90.00 120.00
Positions (direct):
1 B 0.6667 0.3333 0.0005
2 B 0.6667 0.3333 0.5001
3 Er 0.3333 0.6667 0.0921
4 Er 0.3333 0.6667 0.4086
5 Er 0.0000 0.0000 0.5910
6 Ho 0.0000 0.0000 0.9083
7 In 0.0000 0.0000 0.2502
8 In 0.3333 0.6667 0.7492

---

(5)
The following is a GGA-PBE calculation of a relaxed Ho3ErIn2B2 crystal, from OQMD via LeMat-Bulk.

## Properties
ρ (g cm⁻³): 8.03
Space group: P3m1 (156)
DFT total energy (eV/atom): -4.764

a b c (Å): 3.5960 3.5960 16.8676
angles (deg): 90.00 90.00 120.00
Positions (direct):
1 B 0.3333 0.6667 0.0007
2 B 0.3333 0.6667 0.4998
3 Er 0.0000 0.0000 0.0918
4 Ho 0.0000 0.0000 0.4074
5 Ho 0.6667 0.3333 0.5919
6 Ho 0.6667 0.3333 0.9090
7 In 0.6667 0.3333 0.2488
8 In 0.0000 0.0000 0.7506

---

(6)
The following is a GGA-PBE calculation of a relaxed Ho2ErNi2B2N3 crystal, from OQMD via LeMat-Bulk.

## Properties
ρ (g cm⁻³): 9.50
Space group: I4/mmm (139)
DFT total energy (eV/atom): -7.568

a b c (Å): 10.2661 10.2661 10.2661
angles (deg): 160.67 160.67 27.48
Positions (direct):
1 B 0.1888 0.1888 0.0000
2 B 0.8112 0.8112 0.0000
3 Er 0.0000 0.0000 0.0000
4 Ho 0.3774 0.3774 0.0000
5 Ho 0.6226 0.6226 0.0000
6 N 0.1156 0.1156 0.0000
7 N 0.5000 0.5000 0.0000
8 N 0.8844 0.8844 0.0000
9 Ni 0.7500 0.2500 0.5000
10 Ni 0.2500 0.7500 0.5000

---

(7)
The following is a GGA-PBE calculation of a relaxed HoEr2Ni2B2N3 crystal, from OQMD via LeMat-Bulk.

## Properties
ρ (g cm⁻³): 9.56
Space group: I4/mmm (139)
DFT total energy (eV/atom): -7.567

a b c (Å): 10.2714 10.2714 10.2714
angles (deg): 160.71 160.71 27.41
Positions (direct):
1 B 0.1889 0.1889 0.0000
2 B 0.8111 0.8111 0.0000
3 Er 0.3773 0.3773 0.0000
4 Er 0.6227 0.6227 0.0000
5 Ho 0.0000 0.0000 0.0000
6 N 0.1158 0.1158 0.0000
7 N 0.5000 0.5000 0.0000
8 N 0.8842 0.8842 0.0000
9 Ni 0.7500 0.2500 0.5000
10 Ni 0.2500 0.7500 0.5000

---

(8)
The following is a GGA-PBE calculation of a relaxed HoErNi2B2N2 crystal, from OQMD via LeMat-Bulk.

## Properties
ρ (g cm⁻³): 9.20
Space group: P4mm (99)
DFT total energy (eV/atom): -7.404

a b c (Å): 3.4678 3.4678 7.4902
angles (deg): 90.00 90.00 90.00
Positions (direct):
1 B 0.0000 0.0000 0.3377
2 B 0.5000 0.5000 0.6620
3 Er 0.0000 0.0000 0.8333
4 Ho 0.5000 0.5000 0.1670
5 N 0.0000 0.0000 0.1421
6 N 0.5000 0.5000 0.8572
7 Ni 0.5000 0.0000 0.5003
8 Ni 0.0000 0.5000 0.5003